i) A plane-wave DFT calculation with GGA-PBE was carried out for a relaxed structure of Ga2Sn2Pb.

Cell: 4.9624 4.9624 6.3752 Å, 90.00 90.00 120.00°
Last column: nearest neighbours and their distance in Å.
Element x y z (fractional)
Ga 0.6667 0.3333 0.2397  4 Sn 2.89-2.94
Sn 0.3333 0.6667 0.2984  4 Ga 2.89-2.94
Pb 0.0000 0.0000 0.0000  6 Ga 3.25, 6 Sn 3.44
Sn 0.6667 0.3333 0.7016  4 Ga 2.89-2.94
Ga 0.3333 0.6667 0.7603  4 Sn 2.89-2.94

## Properties
**DOS(E_F)**: 2.979 states/eV per cell
**Symmetry**: No. 164

ii) A plane-wave DFT calculation with GGA-PBE was carried out for a relaxed structure of Ga2Sn2Pb.

Cell: 8.3976 8.3976 3.5497 Å, 90.00 90.00 90.00°
Last column: nearest neighbours and their distance in Å.
Element x y z (fractional)
Ga 0.8750 0.6250 0.0000  1 Ga 2.97, 6 Sn 3.01-3.07, 2 Pb 3.32
Sn 0.8296 0.3296 0.5000  6 Ga 3.01-3.07
Sn 0.3296 0.1704 0.5000  6 Ga 3.01-3.07
Ga 0.1250 0.3750 0.0000  1 Ga 2.97, 6 Sn 3.01-3.07, 2 Pb 3.32
Pb 0.5000 0.5000 0.0000  4 Ga 3.32, 2 Pb 3.55, 8 Sn 3.59
Sn 0.6704 0.8296 0.5000  6 Ga 3.01-3.07
Sn 0.1704 0.6704 0.5000  6 Ga 3.01-3.07
Ga 0.6250 0.1250 0.0000  1 Ga 2.97, 6 Sn 3.01-3.07, 2 Pb 3.32
Ga 0.3750 0.8750 0.0000  1 Ga 2.97, 6 Sn 3.01-3.07, 2 Pb 3.32
Pb 0.0000 0.0000 0.0000  4 Ga 3.32, 2 Pb 3.55, 8 Sn 3.59

## Properties
**DOS(E_F)**: 4.244 states/eV per cell
**Symmetry**: No. 127

Winner for stability: ii)

i) A plane-wave DFT calculation with GGA-PBE was carried out for a relaxed structure of Ga2SnPb2.

Cell: 7.4619 7.4619 4.7460 Å, 90.00 90.00 90.00°
Last column: nearest neighbours and their distance in Å.
Element x y z (fractional)
Ga 0.1245 0.3755 0.0000  1 Ga 2.63
Ga 0.3755 0.8755 0.0000  1 Ga 2.63
Ga 0.8755 0.6245 0.0000  1 Ga 2.63
Pb 0.3174 0.1826 0.5000  6 Ga 3.13-3.33
Pb 0.8174 0.3174 0.5000  6 Ga 3.13-3.33
Sn 0.5000 0.5000 0.0000  4 Ga 2.95
Sn 0.0000 0.0000 0.0000  4 Ga 2.95
Pb 0.1826 0.6826 0.5000  6 Ga 3.13-3.33
Pb 0.6826 0.8174 0.5000  6 Ga 3.13-3.33
Ga 0.6245 0.1245 0.0000  1 Ga 2.63

## Properties
**DOS(E_F)**: 3.831 states/eV per cell
**Symmetry**: No. 127

ii) A plane-wave DFT calculation with GGA-PBE was carried out for a relaxed structure of Ga2SnPb2.

Cell: 4.8286 4.8286 6.9228 Å, 69.59 69.59 90.00°
Last column: nearest neighbours and their distance in Å.
Element x y z (fractional)
Pb 0.2500 0.7500 0.5000  4 Ga 3.00
Ga 0.6019 0.6019 0.7961  1 Ga 2.46
Sn 0.0000 0.0000 0.0000  8 Ga 3.63, 8 Pb 3.86
Ga 0.3981 0.3981 0.2039  1 Ga 2.46
Pb 0.7500 0.2500 0.5000  4 Ga 3.00

## Properties
**DOS(E_F)**: 2.572 states/eV per cell
**Symmetry**: No. 139

Winner for stability: i)

i) A plane-wave DFT calculation with GGA-PBE was carried out for a relaxed structure of GaSnPb.

Cell: 4.9839 4.9839 4.9839 Å, 60.00 60.00 60.00°
Last column: nearest neighbours and their distance in Å.
Element x y z (fractional)
Ga 0.2500 0.2500 0.2500  4 Pb 3.05, 4 Sn 3.05
Sn 0.5000 0.5000 0.5000  4 Ga 3.05
Pb 0.0000 0.0000 0.0000  4 Ga 3.05

## Properties
**DOS(E_F)**: 1.479 states/eV per cell
**Symmetry**: No. 216

ii) A plane-wave DFT calculation with GGA-PBE was carried out for a relaxed structure of GaSnPb.

Cell: 3.4837 3.4837 6.9369 Å, 104.54 104.54 90.00°
Last column: nearest neighbours and their distance in Å.
Element x y z (fractional)
Sn 0.3171 0.3171 0.6343  4 Ga 3.09
Ga 0.6738 0.6738 0.3477  4 Sn 3.09, 4 Pb 3.26
Pb 0.0090 0.0090 0.0180  4 Ga 3.26, 4 Pb 3.48, 4 Sn 3.50

## Properties
**DOS(E_F)**: 1.460 states/eV per cell
**Symmetry**: No. 107

Winner for stability: ii)

i) A plane-wave DFT calculation with GGA-PBE was carried out for a relaxed structure of GaSnPb.

Cell: 4.6440 4.5533 4.5533 Å, 120.00 90.00 90.00°
Last column: nearest neighbours and their distance in Å.
Element x y z (fractional)
Pb 0.6858 0.6667 0.3333  3 Ga 3.16, 3 Sn 3.31
Sn 0.2520 0.3333 0.6667  3 Ga 2.77
Ga 0.0622 0.0000 0.0000  3 Sn 2.77

## Properties
**DOS(E_F)**: 0.864 states/eV per cell
**Symmetry**: No. 156

ii) A plane-wave DFT calculation with GGA-PBE was carried out for a relaxed structure of GaSnPb.

Cell: 6.1254 6.5246 8.5035 Å, 110.07 90.00 90.00°
Last column: nearest neighbours and their distance in Å.
Element x y z (fractional)
Ga 0.6178 0.6643 0.9877  1 Ga 2.65, 1 Sn 2.89
Ga 0.3822 0.3357 0.0123  1 Ga 2.65, 1 Sn 2.89
Sn 0.8917 0.9400 0.2841  3 Ga 2.89-3.05
Ga 0.1178 0.3357 0.5123  1 Ga 2.65, 1 Sn 2.89
Pb 0.8940 0.3324 0.1090  4 Ga 3.10-3.24, 2 Sn 3.38-3.46
Sn 0.6083 0.9400 0.7841  3 Ga 2.89-3.05
Sn 0.3917 0.0600 0.2159  3 Ga 2.89-3.05
Pb 0.1060 0.6676 0.8910  4 Ga 3.10-3.24, 2 Sn 3.38-3.46
Pb 0.6060 0.3324 0.6090  4 Ga 3.10-3.24, 2 Sn 3.38-3.46
Pb 0.3940 0.6676 0.3910  4 Ga 3.10-3.24, 2 Sn 3.38-3.46
Ga 0.8822 0.6643 0.4877  1 Ga 2.65, 1 Sn 2.89
Sn 0.1083 0.0600 0.7159  3 Ga 2.89-3.05

## Properties
**DOS(E_F)**: 5.817 states/eV per cell
**Symmetry**: No. 14

Winner for stability: ii)

i) A plane-wave DFT calculation with GGA-PBE was carried out for a relaxed structure of GaSnPb6.

Cell: 5.0687 5.0687 9.3580 Å, 90.00 90.00 90.00°
Last column: nearest neighbours and their distance in Å.
Element x y z (fractional)
Ga 0.0000 0.0000 0.5000  12 Pb 3.42-3.58
Pb 0.5000 0.0000 0.7456  8 Pb 3.42-3.58, 2 Ga 3.42, 2 Sn 3.48
Sn 0.0000 0.0000 0.0000  12 Pb 3.48-3.58
Pb 0.0000 0.5000 0.7456  8 Pb 3.42-3.58, 2 Ga 3.42, 2 Sn 3.48
Pb 0.5000 0.0000 0.2544  8 Pb 3.42-3.58, 2 Ga 3.42, 2 Sn 3.48
Pb 0.5000 0.5000 0.0000  8 Pb 3.48, 4 Sn 3.58
Pb 0.0000 0.5000 0.2544  8 Pb 3.42-3.58, 2 Ga 3.42, 2 Sn 3.48
Pb 0.5000 0.5000 0.5000  8 Pb 3.42, 4 Ga 3.58

## Properties
**DOS(E_F)**: 6.024 states/eV per cell
**Symmetry**: No. 123

ii) A plane-wave DFT calculation with GGA-PBE was carried out for a relaxed structure of GaSnPb6.

Cell: 5.8378 5.8378 8.2441 Å, 95.35 95.35 107.54°
Last column: nearest neighbours and their distance in Å.
Element x y z (fractional)
Pb 0.5852 0.2179 0.1786  1 Ga 3.15, 3 Pb 3.32-3.46, 2 Sn 3.40-3.44
Pb 0.1582 0.1582 0.6575  1 Ga 2.87, 1 Pb 3.12, 1 Sn 3.18
Ga 0.5000 0.5000 0.5000  6 Pb 2.87-3.15
Sn 0.0000 0.0000 0.0000  10 Pb 3.18-3.44
Pb 0.4148 0.7821 0.8214  1 Ga 3.15, 3 Pb 3.32-3.46, 2 Sn 3.40-3.44
Pb 0.8418 0.8418 0.3425  1 Ga 2.87, 1 Pb 3.12, 1 Sn 3.18
Pb 0.7821 0.4148 0.8214  1 Ga 3.15, 3 Pb 3.32-3.46, 2 Sn 3.40-3.44
Pb 0.2179 0.5852 0.1786  1 Ga 3.15, 3 Pb 3.32-3.46, 2 Sn 3.40-3.44

## Properties
**DOS(E_F)**: 3.475 states/eV per cell
**Symmetry**: No. 12

Winner for stability: i)

i) A plane-wave DFT calculation with GGA-PBE was carried out for a relaxed structure of Sr3GaPb.

Cell: 6.4762 6.6231 9.5732 Å, 90.10 100.14 104.20°
Last column: nearest neighbours and their distance in Å.
Element x y z (fractional)
Sr 0.4766 0.9850 0.7607  2 Ga 3.29-3.40, 2 Pb 3.51-3.57
Ga 0.3665 0.5170 0.0325  1 Ga 2.65
Sr 0.9680 0.1678 0.5123  3 Pb 3.35-3.55, 1 Ga 3.52
Sr 0.3024 0.9793 0.1737  2 Pb 3.39-3.53, 2 Ga 3.49-3.76
Pb 0.0409 0.1426 0.8729  2 Ga 3.04-3.06, 1 Sr 3.39
Pb 0.0677 0.7070 0.4463  7 Sr 3.35-3.55
Sr 0.5105 0.5459 0.4107  2 Pb 3.36-3.46, 2 Ga 3.57-3.60
Sr 0.9328 0.6169 0.7750  3 Ga 3.32-3.59, 3 Pb 3.43-3.48, 1 Sr 3.68
Sr 0.8643 0.4226 0.1282  2 Ga 3.40-3.44, 2 Pb 3.45-3.57, 1 Sr 3.68
Ga 0.4016 0.4592 0.7645  1 Ga 2.65

## Properties
**DOS(E_F)**: 5.965 states/eV per cell
**Symmetry**: No. 1

ii) A plane-wave DFT calculation with GGA-PBE was carried out for a relaxed structure of Sr3GaPb.

Cell: 6.0332 6.0332 6.0332 Å, 90.00 90.00 90.00°
Last column: nearest neighbours and their distance in Å.
Element x y z (fractional)
Ga 0.0000 0.0000 0.0000  6 Sr 3.02
Sr 0.5000 0.0000 0.0000  2 Ga 3.02
Sr 0.0000 0.5000 0.0000  2 Ga 3.02
Pb 0.5000 0.5000 0.5000  12 Sr 4.27
Sr 0.0000 0.0000 0.5000  2 Ga 3.02

## Properties
**DOS(E_F)**: 7.910 states/eV per cell
**Symmetry**: No. 221

Winner for stability: i)